Below is a relaxed structure of LaCr3Ni, with properties calculated at the PBE-GGA level.

a b c (Å): 4.453 4.453 4.453
angles (deg): 90.00 90.00 90.00
Element x y z (fractional)
La 0.000 0.000 0.000
Cr 0.000 0.500 0.500
Cr 0.500 0.000 0.500
Cr 0.500 0.500 0.000
Ni 0.500 0.500 0.500

Values from the calculation:
Excess energy over the best structure of this formula in the dataset in meV/atom: 0
Calculated total energy in eV/atom: -6.79
Spin magnetization in μB per formula unit: 0.0
Energy of formation in eV/atom: 1.131